Fe2HgAs2 | Alexandria via LeMat-Bulk | GGA-PBE | optimized geometry; M_tot = 0.000 μB/f.u.; symmetry = I4/mmm; distance to the lowest polymorph of the same formula = 0.00 eV/f.u.; DFT formation energy = 0.127 eV/atom
1.0
-2.7226 -3.0494 -0.5527
1.6994 -2.0842 3.1281
-3.4818 -0.4617 4.3039
As Hg Fe
2 1 2
Direct
0.3657 0.3657 0.2687
0.6343 0.6343 0.7313
0.0000 0.0000 0.0000
0.7500 0.2500 0.5000
0.2500 0.7500 0.5000